Entry 1:
AcSm8In2: relaxed, GGA-PBE.

The calculation puts the total magnetization at 0.000 μB per atom. Its formation energy is 290 meV/atom. Its space group is C2/m.

a b c (Å): 9.0439 9.0439 5.4209
angles (deg): 99.82 99.82 74.82
Closest atoms and distances in Å follow each position.
Fractional positions:
Ac 0.0000 0.0000 0.0000  4 In 3.36-3.43, 6 Sm 3.46-3.57
Sm 0.1674 0.6324 0.2126  1 In 3.27, 2 Sm 3.34-3.61, 1 Ac 3.57
Sm 0.2464 0.2464 0.1334  2 In 3.05-3.06, 2 Sm 3.34
Sm 0.3676 0.8326 0.7874  1 In 3.27, 2 Sm 3.34-3.61, 1 Ac 3.57
Sm 0.4183 0.4183 0.7093  10 Sm 3.50-3.79, 1 In 3.83
Sm 0.5817 0.5817 0.2907  10 Sm 3.50-3.79, 1 In 3.83
Sm 0.6324 0.1674 0.2126  1 In 3.27, 2 Sm 3.34-3.61, 1 Ac 3.57
Sm 0.7536 0.7536 0.8666  2 In 3.05-3.06, 2 Sm 3.34
Sm 0.8326 0.3676 0.7874  1 In 3.27, 2 Sm 3.34-3.61, 1 Ac 3.57
In 0.1455 0.1455 0.5752  4 Sm 3.05-3.27, 1 Ac 3.36
In 0.8545 0.8545 0.4248  4 Sm 3.05-3.27, 1 Ac 3.36

Entry 2:
AcSmIn: relaxed, GGA-PBE.

The calculation puts the total magnetization at 0.000 μB per atom. Its polymorph energy (0 for the lowest one) is 46 meV/atom. Its formation energy is -259 meV/atom. Its space group is I4mm.

a b c (Å): 7.5678 7.5678 7.5678
angles (deg): 150.74 150.74 41.86
Closest atoms and distances in Å follow each position.
Fractional positions:
Ac 0.0000 0.0000 0.0000  4 In 3.60, 4 Ac 3.82, 4 Sm 3.88
Sm 0.6973 0.6973 0.0000  4 In 3.30
In 0.3317 0.3317 0.0000  4 Sm 3.30, 4 Ac 3.60

Entry 3:
Ac3SmIn: relaxed, GGA-PBE.

The calculation puts the total magnetization at 0.001 μB per atom. Its polymorph energy (0 for the lowest one) is 268 meV/atom. Its formation energy is 149 meV/atom. Its space group is Ima2.

a b c (Å): 8.4002 8.4002 8.4002
angles (deg): 86.37 118.01 126.41
Closest atoms and distances in Å follow each position.
Fractional positions:
Ac 0.1883 0.9991 0.6892  2 Sm 3.28-3.29, 1 In 3.35
Ac 0.2500 0.0267 0.2767  1 Sm 3.39, 4 Ac 3.70-3.79, 2 In 3.73-3.75
Ac 0.2500 0.4733 0.7233  1 Sm 3.39, 4 Ac 3.70-3.79, 2 In 3.73-3.75
Ac 0.3099 0.4991 0.3108  2 Sm 3.28-3.29, 1 In 3.35
Ac 0.7500 0.5267 0.2767  1 Sm 3.39, 4 Ac 3.70-3.79, 2 In 3.73-3.75
Ac 0.7500 0.9733 0.7233  1 Sm 3.39, 4 Ac 3.70-3.79, 2 In 3.73-3.75
Sm 0.2465 0.7471 0.9994  2 In 3.22-3.23, 4 Ac 3.28-3.39
Sm 0.7477 0.2471 0.0006  2 In 3.22-3.23, 4 Ac 3.28-3.39
In 0.6954 0.4976 0.6979  2 Sm 3.22-3.23, 1 Ac 3.35
In 0.7997 0.9976 0.3021  2 Sm 3.22-3.23, 1 Ac 3.35

Entry 4:
Ac3Sm12In: relaxed, GGA-PBE.

The calculation puts the total magnetization at 0.000 μB per atom. Its formation energy is -22 meV/atom. Its space group is P4/mmm.

a b c (Å): 5.1533 5.1533 20.8673
angles (deg): 90.00 90.00 90.00
Closest atoms and distances in Å follow each position.
Fractional positions:
Ac 0.0000 0.0000 0.0000  12 Sm 3.64-3.71
Ac 0.0000 0.0000 0.2550  12 Sm 3.65-3.74
Ac 0.0000 0.0000 0.7450  12 Sm 3.65-3.74
Sm 0.0000 0.5000 0.1281  8 Sm 3.64-3.76, 4 Ac 3.69-3.71
Sm 0.0000 0.5000 0.3847  8 Sm 3.53-3.67, 2 In 3.53, 2 Ac 3.74
Sm 0.0000 0.5000 0.6153  2 In 3.53, 8 Sm 3.53-3.67, 2 Ac 3.74
Sm 0.0000 0.5000 0.8719  8 Sm 3.64-3.76, 4 Ac 3.69-3.71
Sm 0.5000 0.0000 0.1281  8 Sm 3.64-3.76, 4 Ac 3.69-3.71
Sm 0.5000 0.0000 0.3847  8 Sm 3.53-3.67, 2 In 3.53, 2 Ac 3.74
Sm 0.5000 0.0000 0.6153  2 In 3.53, 8 Sm 3.53-3.67, 2 Ac 3.74
Sm 0.5000 0.0000 0.8719  8 Sm 3.64-3.76, 4 Ac 3.69-3.71
Sm 0.5000 0.5000 0.0000  4 Ac 3.64, 8 Sm 3.71
Sm 0.5000 0.5000 0.2596  4 Ac 3.65, 8 Sm 3.67-3.76
Sm 0.5000 0.5000 0.5000  8 Sm 3.53, 4 In 3.64
Sm 0.5000 0.5000 0.7404  4 Ac 3.65, 8 Sm 3.67-3.76
In 0.0000 0.0000 0.5000  12 Sm 3.53-3.64

Entry 5:
AcSmInSn: relaxed, GGA-PBE.

The calculation puts the total magnetization at 0.000 μB per atom. Its polymorph energy (0 for the lowest one) is 88 meV/atom. Its formation energy is -497 meV/atom. Its space group is F-43m.

a b c (Å): 5.6251 5.6251 5.6251
angles (deg): 60.00 60.00 60.00
Closest atoms and distances in Å follow each position.
Fractional positions:
Ac 0.0000 0.0000 0.0000  4 In 3.44, 4 Sn 3.44
Sm 0.5000 0.5000 0.5000  4 In 3.44, 4 Sn 3.44
In 0.2500 0.2500 0.2500  4 Ac 3.44, 4 Sm 3.44
Sn 0.7500 0.7500 0.7500  4 Ac 3.44, 4 Sm 3.44

Entry 6:
AcSmInSn: relaxed, GGA-PBE.

The calculation puts the total magnetization at 0.001 μB per atom. Its polymorph energy (0 for the lowest one) is 0 meV/atom. Its formation energy is -584 meV/atom. Its space group is Amm2.

a b c (Å): 4.4922 6.5481 6.5481
angles (deg): 43.09 90.00 90.00
Closest atoms and distances in Å follow each position.
Fractional positions:
Ac 0.0000 0.0000 0.0000  3 Sn 3.34-3.65, 4 In 3.38
Sm 0.5000 0.7227 0.7227  4 Sn 3.35, 3 In 3.49-3.54
In 0.5000 0.4361 0.4361  2 Sn 2.99
Sn 0.0000 0.2746 0.2746  2 In 2.99

Entry 7:
SrAcSmIn: relaxed, GGA-PBE.

The calculation puts the total magnetization at 0.012 μB per atom. Its formation energy is 24 meV/atom. Its space group is F-43m.

a b c (Å): 5.8757 5.8757 5.8757
angles (deg): 60.00 60.00 60.00
Closest atoms and distances in Å follow each position.
Fractional positions:
Sr 0.0000 0.0000 0.0000  4 Ac 3.60, 4 In 3.60
Ac 0.7500 0.7500 0.7500  4 Sm 3.60, 4 Sr 3.60
Sm 0.5000 0.5000 0.5000  4 Ac 3.60, 4 In 3.60
In 0.2500 0.2500 0.2500  4 Sm 3.60, 4 Sr 3.60

Entry 8:
AcSmIn2Te4: relaxed, GGA-PBE.

The calculation puts the total magnetization at 0.000 μB per atom. Its space group is P2/m. The total energy is -35.0 eV for the cell shown.

a b c (Å): 8.0339 4.6282 8.5361
angles (deg): 90.00 108.12 90.00
Closest atoms and distances in Å follow each position.
Fractional positions:
Ac 0.0000 0.0000 0.0000  6 Te 3.32-3.33
Sm 0.5000 0.5000 0.0000  6 Te 3.18-3.20
In 0.0000 0.5000 0.5000  6 Te 3.53
In 0.5000 0.0000 0.5000  6 Te 3.40-3.41
Te 0.2576 0.5000 0.2318  1 Sm 3.18, 2 Ac 3.32, 3 In 3.41-3.53
Te 0.2715 0.0000 0.7749  2 Sm 3.20, 1 Ac 3.33, 3 In 3.40-3.53
Te 0.7285 0.0000 0.2251  2 Sm 3.20, 1 Ac 3.33, 3 In 3.40-3.53
Te 0.7424 0.5000 0.7682  1 Sm 3.18, 2 Ac 3.32, 3 In 3.41-3.53

Entry 9:
AcSmTlIn: relaxed, GGA-PBE.

The calculation puts the total magnetization at 0.000 μB per atom. Its polymorph energy (0 for the lowest one) is 0 meV/atom. Its formation energy is -406 meV/atom. Its space group is P4mm.

a b c (Å): 3.9663 3.9663 8.0196
angles (deg): 90.00 90.00 90.00
Closest atoms and distances in Å follow each position.
Fractional positions:
Ac 0.0000 0.0000 0.0000  4 In 3.54, 4 Tl 3.58, 1 Sm 3.96
Sm 0.0000 0.0000 0.4944  4 In 3.33, 4 Tl 3.35
Tl 0.5000 0.5000 0.7224  4 Sm 3.35, 4 Ac 3.58, 1 In 3.63
In 0.5000 0.5000 0.2694  4 Sm 3.33, 4 Ac 3.54, 1 Tl 3.63

Entry 10:
Ac3Sm3TlIn2: relaxed, GGA-PBE.

The calculation puts the total magnetization at 0.000 μB per atom. Its formation energy is -226 meV/atom. Its space group is P-62m.

a b c (Å): 9.5421 9.5421 3.9327
angles (deg): 90.00 90.00 120.00
Closest atoms and distances in Å follow each position.
Fractional positions:
Ac 0.0000 0.7143 0.0000  2 Tl 3.36, 2 In 3.43, 2 Sm 3.66
Ac 0.2857 0.2857 0.0000  2 Tl 3.36, 2 In 3.43, 2 Sm 3.66
Ac 0.7143 0.0000 0.0000  2 Tl 3.36, 2 In 3.43, 2 Sm 3.66
Sm 0.0000 0.3904 0.5000  4 In 3.54, 6 Ac 3.66-3.88, 1 Tl 3.72, 2 Sm 3.93
Sm 0.3904 0.0000 0.5000  4 In 3.54, 6 Ac 3.66-3.88, 1 Tl 3.72, 2 Sm 3.93
Sm 0.6096 0.6096 0.5000  4 In 3.54, 6 Ac 3.66-3.88, 1 Tl 3.72, 2 Sm 3.93
Tl 0.0000 0.0000 0.5000  6 Ac 3.36, 3 Sm 3.72
In 0.3333 0.6667 0.0000  3 Ac 3.43, 6 Sm 3.54
In 0.6667 0.3333 0.0000  3 Ac 3.43, 6 Sm 3.54

Entry 11:
AcSmTlIn: relaxed, GGA-PBE.

The calculation puts the total magnetization at 0.000 μB per atom. Its polymorph energy (0 for the lowest one) is 22 meV/atom. Its formation energy is -384 meV/atom. Its space group is F-43m.

a b c (Å): 5.6512 5.6512 5.6512
angles (deg): 60.00 60.00 60.00
Closest atoms and distances in Å follow each position.
Fractional positions:
Ac 0.0000 0.0000 0.0000  4 In 3.46, 4 Tl 3.46
Sm 0.5000 0.5000 0.5000  4 Tl 3.46, 4 In 3.46
Tl 0.2500 0.2500 0.2500  4 Sm 3.46, 4 Ac 3.46
In 0.7500 0.7500 0.7500  4 Sm 3.46, 4 Ac 3.46

Entry 12:
AcSmYIn: relaxed, GGA-PBE.

The calculation puts the total magnetization at 0.290 μB per atom. Its formation energy is -94 meV/atom. Its space group is F-43m.

a b c (Å): 5.7087 5.7087 5.7087
angles (deg): 60.00 60.00 60.00
Closest atoms and distances in Å follow each position.
Fractional positions:
Ac 0.0000 0.0000 0.0000  4 Y 3.50, 4 In 3.50
Sm 0.5000 0.5000 0.5000  4 Y 3.50, 4 In 3.50
Y 0.7500 0.7500 0.7500  4 Ac 3.50, 4 Sm 3.50
In 0.2500 0.2500 0.2500  4 Sm 3.50, 4 Ac 3.50